(1)
5
Lattice="4.5991 0.0000 0.0000 0.0000 4.5991 0.0000 0.0000 0.0000 4.5991" Properties=species:S:1:pos:R:3 comment="Ta3NbNi (GGA-PBE, optimized geometry)" e_above_lowest_polymorph_ev_per_atom=0.000 delta_e_f_kj_per_mol_fu=416 sg="Pm-3m (221)" vol_a3_per_fu=97.3 pbc="T T T"
Ta 0.0000 0.0000 2.2995
Ta 0.0000 2.2995 0.0000
Ta 2.2995 0.0000 0.0000
Nb 2.2995 2.2995 2.2995
Ni 0.0000 0.0000 0.0000

(2)
6
Lattice="4.2306 0.0000 0.0000 0.0000 5.0328 0.0000 -0.0031 0.0000 11.2094" Properties=species:S:1:pos:R:3 comment="RbScC (GGA-PBE, optimized geometry)" e_above_lowest_polymorph_ev_per_atom=0.152 delta_e_f_kj_per_mol_fu=53 sg="Pm (6)" vol_a3_per_fu=119.3 pbc="T T T"
Rb 0.0000 0.0000 0.0000
Rb 2.1120 2.5164 4.1625
Sc 0.0006 0.0000 7.5494
Sc 2.1159 2.5164 8.1905
C 0.0005 1.8350 8.6458
C 0.0005 3.1978 8.6458

> Number 2 is which compound?

RbScC